Material: CuMoIr
Method: DFT, PBE
State: relaxed

Unit cell a=5.055 b=5.055 c=7.489 alpha=90.00 beta=90.00 gamma=118.03
Atoms (fractional coordinates):
1 Cu 0.122 0.878 0.924
2 Cu 0.378 0.622 0.424
3 Cu 0.622 0.378 0.576
4 Cu 0.878 0.122 0.076
5 Mo 0.126 0.374 0.750
6 Mo 0.374 0.126 0.250
7 Mo 0.626 0.874 0.750
8 Mo 0.874 0.626 0.250
9 Ir 0.129 0.871 0.591
10 Ir 0.371 0.629 0.091
11 Ir 0.629 0.371 0.909
12 Ir 0.871 0.129 0.409

Computed properties:
calculated density: 13.8 g/cm3
VASP energy: -95.1 eV per cell